No. 1
A geometry-optimized LaPuIn structure. Source: Alexandria, functional PBE.

a = 6.223 Å, b = 6.223 Å, c = 6.223 Å
α = 142.43°, β = 142.43°, γ = 54.18°
Fractional positions:
La 0.000 0.000 0.000
Pu 0.314 0.314 0.000
In 0.664 0.664 0.000

Calculated values
The space group is No. 107. As for the total energy: -0.5480 Ry/atom. The calculation puts the energy relative to the elements at -124 meV/atom.

=====

No. 2
A geometry-optimized Tb2PmPr4Sm structure. Source: Alexandria, functional PBE.

a = 6.336 Å, b = 3.672 Å, c = 12.076 Å
α = 90.00°, β = 100.27°, γ = 90.00°
Fractional positions:
Tb 0.000 0.000 0.000
Tb 0.000 0.500 0.500
Pm 0.500 0.000 0.500
Pr 0.248 0.500 0.249
Pr 0.250 0.000 0.749
Pr 0.750 0.000 0.251
Pr 0.752 0.500 0.751
Sm 0.500 0.500 0.000

Calculated values
The space group is No. 10. As for the total energy: -0.3467 Ry/atom. The calculation puts the energy relative to the elements at 14 meV/atom.

=====

No. 3
A geometry-optimized Hf2TaNbC4 structure. Source: Alexandria, functional PBE.

a = 5.592 Å, b = 3.216 Å, c = 5.609 Å
α = 90.00°, β = 109.44°, γ = 90.00°
Fractional positions:
Hf 0.000 0.000 0.000
Hf 0.500 0.500 0.000
Ta 0.000 0.500 0.500
Nb 0.500 0.000 0.500
C 0.245 0.000 0.742
C 0.251 0.500 0.257
C 0.749 0.500 0.743
C 0.755 0.000 0.258

Calculated values
The space group is No. 10. As for the total energy: -0.7798 Ry/atom. The calculation puts the energy relative to the elements at -769 meV/atom.